Record 1
Compound: TeOsPb
Source: Alexandria via LeMat-Bulk
Functional: GGA-PBE
Structure: optimized geometry

Calculated values
E above lowest polymorph, eV/atom: 0.417

a b c (Å): 4.440 4.440 4.555
angles (deg): 90.00 90.00 120.00
Sites, in units of the cell vectors:
Te1 0.000 0.000 0.000
Os1 0.333 0.667 0.995
Pb1 0.667 0.333 0.502

---

Record 2
Compound: Te2OsPb
Source: Alexandria via LeMat-Bulk
Functional: GGA-PBE
Structure: optimized geometry

a b c (Å): 3.219 3.219 9.987
angles (deg): 90.00 90.00 90.00
Sites, in units of the cell vectors:
Te1 0.000 0.000 0.000
Te2 0.500 0.500 0.332
Os1 0.000 0.000 0.479
Pb1 0.500 0.500 0.699

---

Record 3
Compound: TeOsPb
Source: Alexandria via LeMat-Bulk
Functional: GGA-PBE
Structure: optimized geometry

Calculated values
E above lowest polymorph, eV/atom: 0.196

a b c (Å): 3.747 3.747 6.272
angles (deg): 90.00 90.00 120.00
Sites, in units of the cell vectors:
Te1 0.000 0.000 0.000
Os1 0.333 0.667 0.224
Pb1 0.667 0.333 0.541

---

Record 4
Compound: Te2OsPb
Source: Alexandria via LeMat-Bulk
Functional: GGA-PBE
Structure: optimized geometry

a b c (Å): 3.255 3.255 9.355
angles (deg): 90.00 90.00 90.00
Sites, in units of the cell vectors:
Te1 0.000 0.000 0.182
Te2 0.000 0.000 0.818
Os1 0.500 0.500 0.000
Pb1 0.500 0.500 0.500

---

Record 5
Compound: TeOsPb
Source: Alexandria via LeMat-Bulk
Functional: GGA-PBE
Structure: optimized geometry

Calculated values
E above lowest polymorph, eV/atom: 0.005

a b c (Å): 7.040 7.040 5.934
angles (deg): 103.19 103.19 32.59
Sites, in units of the cell vectors:
Te1 0.000 0.000 0.000
Te2 0.579 0.579 0.556
Os1 0.164 0.164 0.352
Os2 0.633 0.633 0.025
Pb1 0.262 0.262 0.857
Pb2 0.823 0.823 0.388

---

Record 6
Compound: Te2OsPb
Source: Alexandria via LeMat-Bulk
Functional: GGA-PBE
Structure: optimized geometry

a b c (Å): 6.663 6.663 6.090
angles (deg): 115.92 115.92 28.19
Sites, in units of the cell vectors:
Te1 0.000 0.000 0.000
Te2 0.172 0.172 0.646
Os1 0.519 0.519 0.681
Pb1 0.835 0.835 0.299

---

Record 7
Compound: TeOsPb3
Source: Alexandria via LeMat-Bulk
Functional: GGA-PBE
Structure: optimized geometry

Calculated values
E above lowest polymorph, eV/atom: 0.000

a b c (Å): 5.316 5.316 5.316
angles (deg): 90.00 90.00 90.00
Sites, in units of the cell vectors:
Te1 0.000 0.000 0.000
Os1 0.500 0.500 0.500
Pb1 0.000 0.500 0.500
Pb2 0.500 0.000 0.500
Pb3 0.500 0.500 0.000

---

Record 8
Compound: TeOs3Pb
Source: Alexandria via LeMat-Bulk
Functional: GGA-PBE
Structure: optimized geometry

Calculated values
E above lowest polymorph, eV/atom: 0.000

a b c (Å): 4.885 4.885 4.885
angles (deg): 90.00 90.00 90.00
Sites, in units of the cell vectors:
Te1 0.000 0.000 0.000
Os1 0.000 0.000 0.500
Os2 0.000 0.500 0.000
Os3 0.500 0.000 0.000
Pb1 0.500 0.500 0.500

---

Record 9
Compound: Te2OsPb2
Source: Alexandria via LeMat-Bulk
Functional: GGA-PBE
Structure: optimized geometry

a b c (Å): 6.154 6.154 6.154
angles (deg): 120.23 120.23 89.60
Sites, in units of the cell vectors:
Te1 0.250 0.750 0.500
Te2 0.750 0.250 0.500
Os1 0.000 0.000 0.000
Pb1 0.321 0.321 0.000
Pb2 0.679 0.679 0.000

---

Record 10
Compound: Te2OsPb
Source: Alexandria via LeMat-Bulk
Functional: GGA-PBE
Structure: optimized geometry

a b c (Å): 4.218 4.198 5.878
angles (deg): 90.00 90.46 90.00
Sites, in units of the cell vectors:
Te1 0.000 0.000 0.000
Te2 0.500 0.500 0.500
Os1 0.000 0.000 0.500
Pb1 0.500 0.500 0.000

---

Record 11
Compound: Te2OsPb
Source: Alexandria via LeMat-Bulk
Functional: GGA-PBE
Structure: optimized geometry

a b c (Å): 4.189 4.189 7.376
angles (deg): 106.62 106.62 60.05
Sites, in units of the cell vectors:
Te1 0.226 0.226 0.178
Te2 0.774 0.774 0.822
Os1 0.500 0.500 0.000
Pb1 0.000 0.000 0.500

---

Record 12
Compound: Te2OsPb
Source: Alexandria via LeMat-Bulk
Functional: GGA-PBE
Structure: optimized geometry

a b c (Å): 8.903 8.903 8.903
angles (deg): 24.80 24.80 24.80
Sites, in units of the cell vectors:
Te1 0.000 0.000 0.000
Te2 0.213 0.213 0.213
Os1 0.718 0.718 0.718
Pb1 0.460 0.460 0.460

---

no.,uncorrected formation energy (meV per atom),total moment (μB/f.u.),total energy (eV/f.u.)
1,698,0.0,-15.99
2,317,0.0,-19.95
3,478,0.0,-16.65
4,426,0.0,-19.52
5,287,0.0,-17.22
6,303,0.0,-20.01
7,182,0.0,-24.58
8,2164,0.0,-29.72
9,1044,3.3,-19.71
10,736,0.2,-18.28
11,253,0.0,-20.21
12,378,0.0,-19.71